Record 1
VASP calculation (PBE) on a geometry-optimized K2BaHg structure.

Output
DOS(E_F) ... 9.2 states/eV per cell
Electronic total energy ... -1.0617 eV/atom

a b c (Å): 7.4976 12.7281 4.5231
angles (deg): 90.00 90.00 90.00
Last column: nearest neighbours and their distance in Å.
Fractional positions:
1 K 0.2500 0.2500 0.0000  2 K 3.75
2 K 0.2500 0.7500 0.0000  2 K 3.75
3 K 0.7500 0.2500 0.0000  2 K 3.75
4 K 0.7500 0.7500 0.0000  2 K 3.75
5 Ba 0.0000 0.0000 0.5000  2 Hg 3.75
6 Ba 0.5000 0.5000 0.5000  2 Hg 3.75
7 Hg 0.0000 0.5000 0.5000  2 Ba 3.75
8 Hg 0.5000 0.0000 0.5000  2 Ba 3.75

***

Record 2
VASP calculation (PBE) on a geometry-optimized KBaHg2 structure.

Output
DOS(E_F) ... 2.4 states/eV per cell
Electronic total energy ... -1.1745 eV/atom

a b c (Å): 4.7363 4.7509 7.3103
angles (deg): 90.00 90.00 90.00
Last column: nearest neighbours and their distance in Å.
Fractional positions:
1 K 0.0000 0.0000 0.0000  5 Hg 3.38-3.49
2 Ba 0.5000 0.5000 0.3986  5 Hg 3.44-3.50
3 Hg 0.0000 0.0000 0.5370  1 K 3.38, 4 Ba 3.50
4 Hg 0.5000 0.5000 0.8688  1 Ba 3.44, 4 K 3.49

***

Record 3
VASP calculation (PBE) on a geometry-optimized K2BaHg3 structure.

Output
DOS(E_F) ... 5.5 states/eV per cell
Electronic total energy ... -1.1387 eV/atom

a b c (Å): 4.1808 4.1808 12.8836
angles (deg): 90.00 90.00 90.00
Last column: nearest neighbours and their distance in Å.
Fractional positions:
1 K 0.0000 0.0000 0.1704  8 Hg 3.68-3.72
2 K 0.0000 0.0000 0.8296  8 Hg 3.68-3.72
3 Ba 0.0000 0.0000 0.5000  8 Hg 3.57
4 Hg 0.5000 0.5000 0.0000  8 K 3.68
5 Hg 0.5000 0.5000 0.3451  4 Ba 3.57, 4 K 3.72, 1 Hg 3.99
6 Hg 0.5000 0.5000 0.6549  4 Ba 3.57, 4 K 3.72, 1 Hg 3.99

***

Record 4
VASP calculation (PBE) on a geometry-optimized K2BaHg structure.

Output
DOS(E_F) ... 12.5 states/eV per cell
Electronic total energy ... -1.2348 eV/atom

a b c (Å): 4.8154 4.8154 35.1030
angles (deg): 90.00 90.00 120.00
Last column: nearest neighbours and their distance in Å.
Fractional positions:
1 K 0.0000 0.0000 0.0000  9 K 4.68-4.82, 3 Ba 4.70
2 K 0.0000 0.0000 0.2262  3 Hg 3.54
3 K 0.3333 0.6667 0.6667  9 K 4.68-4.82, 3 Ba 4.70
4 K 0.3333 0.6667 0.8928  3 Hg 3.54
5 K 0.6667 0.3333 0.3333  9 K 4.68-4.82, 3 Ba 4.70
6 K 0.6667 0.3333 0.5595  3 Hg 3.54
7 Ba 0.0000 0.0000 0.7745  3 Hg 3.41
8 Ba 0.3333 0.6667 0.4411  3 Hg 3.41
9 Ba 0.6667 0.3333 0.1078  3 Hg 3.41
10 Hg 0.0000 0.0000 0.4971  3 Ba 3.41, 3 K 3.54
11 Hg 0.3333 0.6667 0.1638  3 Ba 3.41, 3 K 3.54
12 Hg 0.6667 0.3333 0.8305  3 Ba 3.41, 3 K 3.54

***

Among the records above, which one has the highest electronic total energy? number 1

***

Which formula does entry 1 have? K2BaHg

***

DOS(E_F) of number 2 (KBaHg2)? 2.4 states/eV per cell